1.
CuSe3 | PBE | relaxed

Cell lengths 4.684, 4.684, 3.808 Å; angles 90.00, 90.00, 111.87 degrees
Fractional coordinates of all 4 atoms:
Cu 0.000 0.000 0.000
Se 0.222 0.778 0.500
Se 0.500 0.500 0.000
Se 0.778 0.222 0.500

Properties
* crystal system: orthorhombic
* volume: 19.384 Å³/atom
* total magnetization: 0.00 μB/f.u.
* energy: -3.560 eV/atom
* energy relative to the elements, uncorrected: 30 kJ/mol of formula units

---

2.
Cu3Se | PBE | relaxed

Cell lengths 4.846, 4.846, 4.846 Å; angles 90.00, 90.00, 90.00 degrees
Fractional coordinates of all 8 atoms:
Cu 0.000 0.250 0.500
Cu 0.000 0.750 0.500
Cu 0.250 0.500 0.000
Cu 0.500 0.000 0.250
Cu 0.500 0.000 0.750
Cu 0.750 0.500 0.000
Se 0.000 0.000 0.000
Se 0.500 0.500 0.500

Properties
* crystal system: cubic
* volume: 14.229 Å³/atom
* total magnetization: 0.00 μB/f.u.
* energy: -3.746 eV/atom
* energy relative to the elements, uncorrected: 76 kJ/mol of formula units

---

3.
Cu3Se4 | PBE | relaxed

Cell lengths 12.306, 12.306, 12.306 Å; angles 164.14, 164.14, 22.50 degrees
Fractional coordinates of all 7 atoms:
Cu 0.000 0.000 0.000
Cu 0.283 0.283 0.000
Cu 0.717 0.717 0.000
Se 0.180 0.180 0.000
Se 0.450 0.450 0.000
Se 0.550 0.550 0.000
Se 0.820 0.820 0.000

Properties
* crystal system: tetragonal
* volume: 19.873 Å³/atom
* total magnetization: 0.00 μB/f.u.
* energy: -3.639 eV/atom
* energy relative to the elements, uncorrected: 73 kJ/mol of formula units